TbMgNi after structural relaxation. Source: Alexandria via LeMat-Bulk, functional GGA-PBE.

Output
* symmetry: Pnma, No. 62
* energy of formation: -59 kJ/mol of formula units
* DOS(E_F): 10.7 states/eV/cell
* size of the total moment: 0.0 μB/f.u.

Cell lengths 7.6507, 4.7814, 6.7613 Å; angles 90.00, 90.00, 90.00 degrees
Sites, in units of the cell vectors:
1 Tb 0.0472 0.2500 0.1928
2 Tb 0.4528 0.7500 0.6928
3 Tb 0.5472 0.2500 0.3072
4 Tb 0.9528 0.7500 0.8072
5 Mg 0.1853 0.2500 0.6295
6 Mg 0.3147 0.7500 0.1295
7 Mg 0.6853 0.2500 0.8705
8 Mg 0.8147 0.7500 0.3705
9 Ni 0.1429 0.7500 0.4512
10 Ni 0.3571 0.2500 0.9512
11 Ni 0.6429 0.7500 0.0488
12 Ni 0.8571 0.2500 0.5488